[1]
Computed, not measured: a geometry-optimized HgAsO2F structure at the PBE level of DFT.

Space group ... P4/mmm (123)
Electronic total energy ... -20.20 eV per formula unit
Formation energy from raw total energies ... -0.69 eV/atom
Fermi-level density of states ... 1.3 states/eV per cell

```
data_HgAsO2F
_chemical_formula_sum 'Hg1 As1 O2 F1'
_space_group_name_H-M_alt 'P 1'
_space_group_IT_number 1
_cell_length_a 4.022
_cell_length_b 4.022
_cell_length_c 4.171
_cell_angle_alpha 90.00
_cell_angle_beta 90.00
_cell_angle_gamma 90.00
loop_
_space_group_symop_operation_xyz
'x,y,z'
loop_
_atom_site_label
_atom_site_type_symbol
_atom_site_fract_x
_atom_site_fract_y
_atom_site_fract_z
_atom_site_occupancy
Hg1 Hg 0.000 0.000 0.000 1
As1 As 0.500 0.500 0.500 1
O1 O 0.000 0.500 0.500 1
O2 O 0.500 0.000 0.500 1
F1 F 0.500 0.500 0.000 1
```

[2]
Computed, not measured: a geometry-optimized Ho2Ga3Fe structure at the PBE level of DFT.

Space group ... Cm (8)
Energy of formation from the pure elements ... -0.479 eV per atom
Electronic total energy ... -29.57 eV per formula unit
Fermi-level density of states ... 4.4 states/eV per cell

```
data_Ho2Ga3Fe
_chemical_formula_sum 'Ho2 Ga3 Fe1'
_space_group_name_H-M_alt 'P 1'
_space_group_IT_number 1
_cell_length_a 5.595
_cell_length_b 5.595
_cell_length_c 7.099
_cell_angle_alpha 128.54
_cell_angle_beta 128.54
_cell_angle_gamma 45.18
loop_
_space_group_symop_operation_xyz
'x,y,z'
loop_
_atom_site_label
_atom_site_type_symbol
_atom_site_fract_x
_atom_site_fract_y
_atom_site_fract_z
_atom_site_occupancy
Ho1 Ho 0.000 0.000 0.000 1
Ho2 Ho 0.097 0.097 0.595 1
Ga1 Ga 0.377 0.377 0.176 1
Ga2 Ga 0.401 0.401 0.613 1
Ga3 Ga 0.715 0.715 0.390 1
Fe1 Fe 0.713 0.713 0.009 1
```

[3]
Computed, not measured: a geometry-optimized SnGe2Rh8 structure at the PBE level of DFT.

Space group ... Immm (71)
Energy of formation from the pure elements ... -0.266 eV per atom
Electronic total energy ... -74.97 eV per formula unit
Fermi-level density of states ... 10.8 states/eV per cell

```
data_SnGe2Rh8
_chemical_formula_sum 'Sn1 Ge2 Rh8'
_space_group_name_H-M_alt 'P 1'
_space_group_IT_number 1
_cell_length_a 7.261
_cell_length_b 7.261
_cell_length_c 7.261
_cell_angle_alpha 147.56
_cell_angle_beta 124.83
_cell_angle_gamma 65.48
loop_
_space_group_symop_operation_xyz
'x,y,z'
loop_
_atom_site_label
_atom_site_type_symbol
_atom_site_fract_x
_atom_site_fract_y
_atom_site_fract_z
_atom_site_occupancy
Sn1 Sn 0.000 0.000 0.000 1
Ge1 Ge 0.313 0.313 0.000 1
Ge2 Ge 0.687 0.687 0.000 1
Rh1 Rh 0.115 0.834 0.281 1
Rh2 Rh 0.148 0.648 0.500 1
Rh3 Rh 0.302 0.500 0.802 1
Rh4 Rh 0.446 0.166 0.281 1
Rh5 Rh 0.554 0.834 0.719 1
Rh6 Rh 0.698 0.500 0.198 1
Rh7 Rh 0.852 0.352 0.500 1
Rh8 Rh 0.885 0.166 0.719 1
```

[4]
Computed, not measured: a geometry-optimized NdDy3Er5 structure at the PBE level of DFT.

Space group ... C2/c (15)
Energy of formation from the pure elements ... 0.339 eV per atom
Electronic total energy ... -38.34 eV per formula unit
ΔE to the lowest computed polymorph ... 0 meV/atom
Fermi-level density of states ... 27.8 states/eV per cell

```
data_NdDy3Er5
_chemical_formula_sum 'Nd2 Dy6 Er10'
_space_group_name_H-M_alt 'P 1'
_space_group_IT_number 1
_cell_length_a 10.002
_cell_length_b 10.002
_cell_length_c 11.313
_cell_angle_alpha 112.95
_cell_angle_beta 112.95
_cell_angle_gamma 34.98
loop_
_space_group_symop_operation_xyz
'x,y,z'
loop_
_atom_site_label
_atom_site_type_symbol
_atom_site_fract_x
_atom_site_fract_y
_atom_site_fract_z
_atom_site_occupancy
Nd1 Nd 0.074 0.926 0.750 1
Nd2 Nd 0.926 0.074 0.250 1
Dy1 Dy 0.000 0.000 0.000 1
Dy2 Dy 0.000 0.000 0.500 1
Dy3 Dy 0.058 0.585 0.639 1
Dy4 Dy 0.415 0.942 0.861 1
Dy5 Dy 0.585 0.058 0.139 1
Dy6 Dy 0.942 0.415 0.361 1
Er1 Er 0.079 0.581 0.971 1
Er2 Er 0.097 0.579 0.307 1
Er3 Er 0.419 0.921 0.529 1
Er4 Er 0.421 0.903 0.193 1
Er5 Er 0.429 0.571 0.250 1
Er6 Er 0.571 0.429 0.750 1
Er7 Er 0.579 0.097 0.807 1
Er8 Er 0.581 0.079 0.471 1
Er9 Er 0.903 0.421 0.693 1
Er10 Er 0.921 0.419 0.029 1
```